(1)
! Pu4As3Se | Alexandria via LeMat-Bulk | GGA-PBE | relaxed; values from VASP
&SYSTEM
  ibrav = 0, nat = 8, ntyp = 3
/
ATOMIC_SPECIES
Pu 244.00 Pu.upf
As 74.92 As.upf
Se 78.96 Se.upf
CELL_PARAMETERS angstrom
4.1402 0.0000 0.0000
0.0000 5.8522 0.0000
0.0000 0.0000 8.2882
ATOMIC_POSITIONS angstrom
Pu 0.0000 0.0000 0.0000
Pu 0.0000 0.0000 4.1441
Pu 2.0701 2.9261 2.0525
Pu 2.0701 2.9261 6.2356
As 0.0000 2.9261 0.0000
As 2.0701 0.0000 2.0927
As 2.0701 0.0000 6.1955
Se 0.0000 2.9261 4.1441
! * formation energy from raw total energies: -1.14 eV per atom


(2)
! Mo3Pb2 | Alexandria via LeMat-Bulk | GGA-PBE | relaxed; values from VASP
&SYSTEM
  ibrav = 0, nat = 10, ntyp = 2
/
ATOMIC_SPECIES
Mo 95.94 Mo.upf
Pb 207.20 Pb.upf
CELL_PARAMETERS angstrom
0.0000 7.5325 2.8363
4.8008 0.0000 2.8363
4.8008 7.5325 0.0000
ATOMIC_POSITIONS angstrom
Mo 0.0000 0.0000 0.0000
Mo 7.4800 5.3347 2.4251
Mo 2.4004 3.7663 1.4182
Mo 5.0796 5.9641 3.8433
Mo 4.5220 9.1010 3.8433
Mo 2.1216 9.7303 2.4251
Pb 6.7275 8.2854 2.2727
Pb 4.3271 3.0135 3.6909
Pb 2.8741 6.7797 2.2727
Pb 5.2745 12.0516 3.6909
! * calculated formation energy: 3.19 eV per formula unit


(3)
! Li2AcPuTe4 | Alexandria via LeMat-Bulk | GGA-PBE | relaxed; values from VASP
&SYSTEM
  ibrav = 0, nat = 16, ntyp = 4
/
ATOMIC_SPECIES
Li 6.94 Li.upf
Ac 227.00 Ac.upf
Pu 244.00 Pu.upf
Te 127.60 Te.upf
CELL_PARAMETERS angstrom
7.7629 0.0000 0.0000
0.0000 7.7629 0.0000
0.0000 0.0000 8.4271
ATOMIC_POSITIONS angstrom
Li 0.0000 3.8815 2.1068
Li 0.0000 3.8815 6.3203
Li 3.8815 0.0000 2.1068
Li 3.8815 0.0000 6.3203
Ac 0.0000 0.0000 0.0000
Ac 3.8815 3.8815 4.2135
Pu 0.0000 0.0000 4.2135
Pu 3.8815 3.8815 0.0000
Te 1.8310 1.8310 5.9306
Te 1.8310 5.9319 2.4964
Te 2.0505 2.0505 1.7171
Te 2.0505 5.7125 6.7100
Te 5.7125 2.0505 6.7100
Te 5.7125 5.7125 1.7171
Te 5.9319 1.8310 2.4964
Te 5.9319 5.9319 5.9306
! * formation energy from raw total energies: -1.03 eV per atom